9
Lattice="5.057 0.000 0.000 0.000 7.126 0.000 -2.528 -3.563 6.964" Properties=species:S:1:pos:R:3 comment="NaNd2PaS5 PBE relaxed" e_form_raw_ev_per_atom=-1.61 crystal_system=orthorhombic magnetic_moment_mub_per_fu=0.00 space_group=Immm pbc="T T T"
Pa 2.528 0.000 0.000
S 0.000 -1.848 4.902
S 0.000 0.000 0.000
S 2.528 1.715 2.062
S 0.000 1.848 4.902
S 2.528 5.411 2.062
Na 0.000 3.563 0.000
Nd 0.000 0.000 2.823
Nd 2.528 3.563 4.141

8
Lattice="-8.321 -3.221 -1.771 2.835 -2.837 -8.164 -2.097 -5.241 -3.975" Properties=species:S:1:pos:R:3 comment="AlAsCl2 PBE relaxed" e_form_raw_ev_per_atom=-0.24 polymorph_energy_ev_per_atom=0.3794 crystal_system=tetragonal magnetic_moment_mub_per_fu=2.00 space_group=I-42d pbc="T T T"
Cl -6.811 -8.793 -10.413
Cl -4.085 -3.181 -2.847
Cl -1.077 -3.983 -6.591
Cl -3.192 -6.641 -7.968
As -6.580 -5.746 -5.356
As 0.000 0.000 0.000
Al -2.743 -3.029 -4.967
Al -1.002 -5.554 -8.553

11
Lattice="5.923 0.152 0.173 -0.263 5.293 0.147 -0.263 -0.559 5.265" Properties=species:S:1:pos:R:3 comment="Nb2Bi2O7 PBE relaxed" e_form_raw_ev_per_atom=-1.85 crystal_system=monoclinic magnetic_moment_mub_per_fu=0.00 space_group=C2/m pbc="T T T"
Nb 2.914 3.526 4.031
Nb 2.483 1.360 1.554
O 1.410 0.093 2.528
O 1.494 2.711 3.100
O 2.961 0.076 0.087
O 3.987 2.392 5.157
O 3.987 4.793 3.057
O 3.902 2.174 2.486
O 1.410 2.494 0.428
Bi -0.263 0.754 4.117
Bi -0.263 3.980 1.295

3
Lattice="3.682 0.000 0.000 0.000 3.682 0.000 -1.841 -1.841 8.102" Properties=species:S:1:pos:R:3 comment="Eu2Th PBE relaxed" crystal_system=tetragonal ef_ev_per_atom=0.149 magnetic_moment_mub_per_fu=14.90 space_group=I4/mmm pbc="T T T"
Eu 0.000 0.000 5.518
Eu 1.841 1.841 2.585
Th 0.000 0.000 0.000